DFT (PBE-GGA) results for an optimized crystal structure of NaMnRu2.

Summary:
- calculated formation energy (eV/atom) = 0.74

a = 4.3280 Å, b = 4.3280 Å, c = 4.3280 Å
α = 60.00°, β = 60.00°, γ = 60.00°
Last column: nearest neighbours and their distance in Å.
Fractional coordinates of all 4 atoms:
1 Na 0.0000 0.0000 0.0000  8 Ru 2.65
2 Mn 0.5000 0.5000 0.5000  8 Ru 2.65
3 Ru 0.2500 0.2500 0.2500  4 Mn 2.65, 4 Na 2.65
4 Ru 0.7500 0.7500 0.7500  4 Mn 2.65, 4 Na 2.65



DFT (PBE-GGA) results for an optimized crystal structure of NaMn3Ru.

Summary:
- calculated formation energy (eV/atom) = 2.60

a = 4.1335 Å, b = 4.1335 Å, c = 4.1335 Å
α = 90.00°, β = 90.00°, γ = 90.00°
Last column: nearest neighbours and their distance in Å.
Fractional coordinates of all 5 atoms:
1 Na 0.0000 0.0000 0.0000  6 Mn 2.07
2 Mn 0.0000 0.0000 0.5000  2 Na 2.07
3 Mn 0.0000 0.5000 0.0000  2 Na 2.07
4 Mn 0.5000 0.0000 0.0000  2 Na 2.07
5 Ru 0.5000 0.5000 0.5000  12 Mn 2.92